Entry 1:
Here is crystalline KNaPrNbO5 at its relaxed geometry from Alexandria via LeMat-Bulk. Energies are from GGA-PBE.

a b c (Å): 5.8150 5.8150 8.4048
angles (deg): 90.00 90.00 90.00
Space group P4/nmm (No. 129, origin choice 2)
One atom of each set of equivalent atoms:
K 0.2500 0.7500 0.0000
Na 0.2500 0.2500 0.2410
Pr 0.2500 0.7500 0.5000
Nb 0.2500 0.2500 0.7432
O 0.0198 0.0198 0.6714
O 0.2500 0.2500 0.9657

magnetization = 0.000 μB per formula unit
E_form (uncorrected) = -2.616 eV/atom
calculated total energy = -7.289 eV/atom

***

Entry 2:
Here is crystalline KNaSmNbO5 at its relaxed geometry from Alexandria via LeMat-Bulk. Energies are from GGA-PBE.

a b c (Å): 5.7444 5.7444 8.3820
angles (deg): 90.00 90.00 90.00
Space group P4/nmm (No. 129, origin choice 2)
One atom of each set of equivalent atoms:
K 0.2500 0.7500 0.0000
Na 0.2500 0.2500 0.2413
Sm 0.2500 0.7500 0.5000
Nb 0.2500 0.2500 0.7398
O 0.0180 0.0180 0.6669
O 0.2500 0.2500 0.9635

magnetization = 0.000 μB per formula unit
E_form (uncorrected) = -2.634 eV/atom
calculated total energy = -7.300 eV/atom

***

Entry 3:
Here is crystalline K5Na3Ta2Nb6O24 at its relaxed geometry from Alexandria via LeMat-Bulk. Energies are from GGA-PBE.

a b c (Å): 8.0018 11.4984 11.5773
angles (deg): 90.00 90.00 90.00
Space group Amm2 (No. 38)
One atom of each set of equivalent atoms:
K 0.0000 0.0000 0.0000
K 0.0000 0.0000 0.4994
K 0.0000 0.2496 0.2511
K 0.5000 0.0000 0.9998
Na 0.5000 0.0000 0.5179
Na 0.5000 0.2494 0.7701
Ta 0.2515 0.0000 0.7548
Nb 0.2519 0.2504 0.0073
Nb 0.2526 0.0000 0.2581
O 0.0000 0.0000 0.2408
O 0.0000 0.0000 0.7398
O 0.0000 0.2477 0.4902
O 0.2518 0.1276 0.1162
O 0.2537 0.1246 0.8640
O 0.2552 0.1243 0.3654
O 0.2555 0.1235 0.6156
O 0.5000 0.0000 0.2368
O 0.5000 0.0000 0.7375
O 0.5000 0.2482 0.4855

magnetization = 0.000 μB per formula unit
E_form (uncorrected) = -2.484 eV/atom
calculated total energy = -7.798 eV/atom

***

Entry 4:
Here is crystalline K5Na3Ta4Nb4O24 at its relaxed geometry from Alexandria via LeMat-Bulk. Energies are from GGA-PBE.

a b c (Å): 11.4533 11.4211 8.0556
angles (deg): 90.00 90.15 90.00
Space group Cm (No. 8)
One atom of each set of equivalent atoms:
K 0.9998 0.0000 0.9995
K 0.9996 0.0000 0.4991
K 0.0000 0.5000 0.0000
K 0.2496 0.2502 0.0000
Na 0.2359 0.2501 0.5084
Na 0.4852 0.0000 0.5084
Ta 0.2459 0.0000 0.2523
Ta 0.2476 0.0000 0.7489
Ta 0.4957 0.2502 0.7511
Nb 0.2423 0.5000 0.2583
Nb 0.2441 0.5000 0.7535
Nb 0.4938 0.2499 0.2555
O 0.0057 0.2514 0.9923
O 0.0103 0.2524 0.4959
O 0.1304 0.3749 0.7393
O 0.1322 0.1259 0.7415
O 0.1324 0.3748 0.2467
O 0.1335 0.1252 0.2485
O 0.2565 0.0000 0.9945
O 0.2563 0.5000 0.9923
O 0.2570 0.5000 0.4945
O 0.2584 0.0000 0.4958
O 0.3805 0.3724 0.7403
O 0.3822 0.1232 0.2499
O 0.3815 0.1238 0.7393
O 0.3820 0.3736 0.2468

magnetization = 0.000 μB per formula unit
E_form (uncorrected) = -2.539 eV/atom
calculated total energy = -7.942 eV/atom